No. 1
Density functional theory data (PBE) for a relaxed DyHg7 crystal.

For the total energy, the calculation gives -15.660 eV/cell. The calculated formation energy comes out at -0.139 eV/atom. The space group is No. 139.

Cell lengths 4.581, 4.581, 18.941 Å; angles 90.00, 90.00, 90.00 degrees
Fractional positions:
Dy1 0.000 0.000 0.000
Dy2 0.500 0.500 0.500
Hg1 0.000 0.000 0.251
Hg2 0.000 0.000 0.500
Hg3 0.000 0.000 0.749
Hg4 0.000 0.500 0.123
Hg5 0.000 0.500 0.377
Hg6 0.000 0.500 0.623
Hg7 0.000 0.500 0.877
Hg8 0.500 0.000 0.123
Hg9 0.500 0.000 0.377
Hg10 0.500 0.000 0.623
Hg11 0.500 0.000 0.877
Hg12 0.500 0.500 0.000
Hg13 0.500 0.500 0.249
Hg14 0.500 0.500 0.751

No. 2
Density functional theory data (PBE) for a relaxed Dy2Hg crystal.

For the total energy, the calculation gives -19.676 eV/cell. The calculated formation energy comes out at -0.111 eV/atom. The space group is No. 139.

Cell lengths 5.092, 5.092, 7.218 Å; angles 90.00, 90.00, 90.00 degrees
Fractional positions:
Dy1 0.000 0.500 0.250
Dy2 0.000 0.500 0.750
Dy3 0.500 0.000 0.250
Dy4 0.500 0.000 0.750
Hg1 0.000 0.000 0.000
Hg2 0.500 0.500 0.500

No. 3
Density functional theory data (PBE) for a relaxed Dy2HoHg crystal.

For the total energy, the calculation gives -57.111 eV/cell. The calculated formation energy comes out at -0.048 eV/atom. The space group is No. 225.

Cell lengths 7.619, 7.619, 7.619 Å; angles 90.00, 90.00, 90.00 degrees
Fractional positions:
Dy1 0.250 0.250 0.250
Dy2 0.250 0.250 0.750
Dy3 0.250 0.750 0.250
Dy4 0.250 0.750 0.750
Dy5 0.750 0.250 0.250
Dy6 0.750 0.250 0.750
Dy7 0.750 0.750 0.250
Dy8 0.750 0.750 0.750
Ho1 0.000 0.000 0.000
Ho2 0.000 0.500 0.500
Ho3 0.500 0.000 0.500
Ho4 0.500 0.500 0.000
Hg1 0.000 0.000 0.500
Hg2 0.000 0.500 0.000
Hg3 0.500 0.000 0.000
Hg4 0.500 0.500 0.500

No. 4
Density functional theory data (PBE) for a relaxed Dy2HoHg crystal.

For the total energy, the calculation gives -14.982 eV/cell. The calculated formation energy comes out at -0.225 eV/atom. The space group is No. 123.

Cell lengths 3.591, 3.591, 8.900 Å; angles 90.00, 90.00, 90.00 degrees
Fractional positions:
Dy1 0.000 0.000 0.224
Dy2 0.000 0.000 0.776
Ho1 0.500 0.500 0.500
Hg1 0.500 0.500 0.000

No. 5
Density functional theory data (PBE) for a relaxed Dy5Ho4Hg crystal.

For the total energy, the calculation gives -42.403 eV/cell. The calculated formation energy comes out at -0.078 eV/atom. The space group is No. 123.

Cell lengths 3.548, 3.548, 23.973 Å; angles 90.00, 90.00, 90.00 degrees
Fractional positions:
Dy1 0.000 0.000 0.000
Dy2 0.000 0.000 0.208
Dy3 0.000 0.000 0.415
Dy4 0.000 0.000 0.585
Dy5 0.000 0.000 0.792
Ho1 0.500 0.500 0.104
Ho2 0.500 0.500 0.311
Ho3 0.500 0.500 0.689
Ho4 0.500 0.500 0.896
Hg1 0.500 0.500 0.500

No. 6
Density functional theory data (PBE) for a relaxed DyHo4Hg4 crystal.

For the total energy, the calculation gives -52.730 eV/cell. The calculated formation energy comes out at -0.249 eV/atom. The space group is No. 86.

Cell lengths 9.487, 9.487, 5.496 Å; angles 90.00, 90.00, 90.00 degrees
Fractional positions:
Dy1 0.250 0.250 0.250
Dy2 0.750 0.750 0.750
Ho1 0.099 0.839 0.649
Ho2 0.161 0.599 0.149
Ho3 0.339 0.901 0.149
Ho4 0.401 0.661 0.649
Ho5 0.599 0.339 0.351
Ho6 0.661 0.099 0.851
Ho7 0.839 0.401 0.851
Ho8 0.901 0.161 0.351
Hg1 0.046 0.146 0.854
Hg2 0.146 0.454 0.646
Hg3 0.354 0.046 0.646
Hg4 0.454 0.354 0.854
Hg5 0.546 0.646 0.146
Hg6 0.646 0.954 0.354
Hg7 0.854 0.546 0.354
Hg8 0.954 0.854 0.146